## BeBRu (GGA-PBE)

Data for crystalline BeBRu at its relaxed geometry.

Computed properties:
The magnetization comes out at 0.00 μB/f.u. As for the density: 7.14 g/cm3. The polymorph energy (0 for the lowest one) comes out at 0.909 eV/f.u. Its space group is I4mm, No. 107. As for the calculated formation energy: -6.7 kJ/mol of atoms. For the density of states at the Fermi level, the calculation gives 1.018 states/eV per cell. As for the calculated volume: 9.37 A^3/atom.

Cell lengths 4.021, 4.021, 4.021 Å; angles 138.63, 138.63, 59.94 degrees
Fractional coordinates of all 3 atoms:
Be  0.000  0.000  0.000
B  0.681  0.681  0.000
Ru  0.324  0.324  0.000

***

## Be16BRu2 (GGA-PBE)

Data for crystalline Be16BRu2 at its relaxed geometry.

Computed properties:
The magnetization comes out at 0.00 μB/f.u. As for the density: 3.82 g/cm3. Its space group is R3m, No. 160. As for the calculated formation energy: -13.7 kJ/mol of atoms. For the density of states at the Fermi level, the calculation gives 1.639 states/eV per cell. As for the calculated volume: 8.18 A^3/atom.

Cell lengths 5.416, 5.416, 5.416 Å; angles 82.71, 82.71, 82.71 degrees
Fractional coordinates of all 19 atoms:
Be  0.060  0.060  0.060
Be  0.153  0.458  0.849
Be  0.153  0.849  0.458
Be  0.156  0.156  0.649
Be  0.156  0.649  0.156
Be  0.311  0.804  0.804
Be  0.458  0.153  0.849
Be  0.458  0.849  0.153
Be  0.502  0.502  0.996
Be  0.502  0.996  0.502
Be  0.649  0.156  0.156
Be  0.804  0.311  0.804
Be  0.804  0.804  0.311
Be  0.849  0.153  0.458
Be  0.849  0.458  0.153
Be  0.996  0.502  0.502
B  0.260  0.260  0.260
Ru  0.484  0.484  0.484
Ru  0.814  0.814  0.814

***

## BeBRu (GGA-PBE)

Data for crystalline BeBRu at its relaxed geometry.

Computed properties:
The magnetization comes out at 0.00 μB/f.u. As for the density: 7.36 g/cm3. The polymorph energy (0 for the lowest one) comes out at 0.346 eV/f.u. Its space group is Pmmn, No. 59. As for the calculated formation energy: -24.9 kJ/mol of atoms. For the density of states at the Fermi level, the calculation gives 2.737 states/eV per cell. As for the calculated volume: 9.09 A^3/atom.

Cell lengths 2.921, 3.325, 5.614 Å; angles 90.00, 90.00, 90.00 degrees
Fractional coordinates of all 6 atoms:
Be  0.250  0.250  0.003
Be  0.750  0.750  0.997
B  0.250  0.750  0.733
B  0.750  0.250  0.267
Ru  0.250  0.750  0.327
Ru  0.750  0.250  0.673

***

## BeBRu (GGA-PBE)

Data for crystalline BeBRu at its relaxed geometry.

Computed properties:
The magnetization comes out at 0.00 μB/f.u. As for the density: 6.58 g/cm3. The polymorph energy (0 for the lowest one) comes out at 0.451 eV/f.u. Its space group is R-3m, No. 166. As for the calculated formation energy: -21.5 kJ/mol of atoms. For the density of states at the Fermi level, the calculation gives 3.314 states/eV per cell. As for the calculated volume: 10.17 A^3/atom.

Cell lengths 6.178, 6.178, 6.178 Å; angles 32.65, 32.65, 32.65 degrees
Fractional coordinates of all 6 atoms:
Be  0.136  0.136  0.136
Be  0.864  0.864  0.864
B  0.416  0.416  0.416
B  0.584  0.584  0.584
Ru  0.276  0.276  0.276
Ru  0.724  0.724  0.724

***

## BeBRu2 (GGA-PBE)

Data for crystalline BeBRu2 at its relaxed geometry.

Computed properties:
The magnetization comes out at 0.00 μB/f.u. As for the density: 8.13 g/cm3. The polymorph energy (0 for the lowest one) comes out at 1.015 eV/f.u. Its space group is I-42d, No. 122. As for the calculated formation energy: 12.3 kJ/mol of atoms. For the density of states at the Fermi level, the calculation gives 8.397 states/eV per cell. As for the calculated volume: 11.33 A^3/atom.

Cell lengths 4.906, 4.906, 4.906 Å; angles 107.75, 107.75, 112.97 degrees
Fractional coordinates of all 8 atoms:
Be  0.000  0.000  0.000
Be  0.750  0.250  0.500
B  0.250  0.750  0.500
B  0.500  0.500  0.000
Ru  0.156  0.625  0.031
Ru  0.375  0.406  0.531
Ru  0.594  0.125  0.969
Ru  0.875  0.844  0.469

***

## BeBRu2 (GGA-PBE)

Data for crystalline BeBRu2 at its relaxed geometry.

Computed properties:
The magnetization comes out at 0.00 μB/f.u. As for the density: 8.87 g/cm3. The polymorph energy (0 for the lowest one) comes out at 0.000 eV/f.u. Its space group is P4/mmm, No. 123. As for the calculated formation energy: -12.2 kJ/mol of atoms. For the density of states at the Fermi level, the calculation gives 2.319 states/eV per cell. As for the calculated volume: 10.38 A^3/atom.

Cell lengths 2.734, 2.734, 5.557 Å; angles 90.00, 90.00, 90.00 degrees
Fractional coordinates of all 4 atoms:
Be  0.000  0.000  0.000
B  0.000  0.000  0.500
Ru  0.500  0.500  0.268
Ru  0.500  0.500  0.732

***

## Be2BRu2 (GGA-PBE)

Data for crystalline Be2BRu2 at its relaxed geometry.

Computed properties:
The magnetization comes out at 0.00 μB/f.u. As for the density: 7.83 g/cm3. The polymorph energy (0 for the lowest one) comes out at 0.000 eV/f.u. Its space group is C2/m, No. 12. As for the calculated formation energy: -27.8 kJ/mol of atoms. For the density of states at the Fermi level, the calculation gives 7.585 states/eV per cell. As for the calculated volume: 9.79 A^3/atom.

Cell lengths 5.444, 5.444, 6.797 Å; angles 108.22, 108.22, 30.93 degrees
Fractional coordinates of all 10 atoms:
Be  0.046  0.046  0.156
Be  0.085  0.085  0.664
Be  0.915  0.915  0.336
Be  0.954  0.954  0.844
B  0.246  0.246  0.250
B  0.754  0.754  0.750
Ru  0.366  0.366  0.030
Ru  0.371  0.371  0.579
Ru  0.629  0.629  0.421
Ru  0.634  0.634  0.970

***

## BeBRu2 (GGA-PBE)

Data for crystalline BeBRu2 at its relaxed geometry.

Computed properties:
The magnetization comes out at 0.00 μB/f.u. As for the density: 7.53 g/cm3. The polymorph energy (0 for the lowest one) comes out at 1.461 eV/f.u. Its space group is R-3m, No. 166. As for the calculated formation energy: 23.0 kJ/mol of atoms. For the density of states at the Fermi level, the calculation gives 3.164 states/eV per cell. As for the calculated volume: 12.24 A^3/atom.

Cell lengths 7.303, 7.303, 7.303 Å; angles 22.25, 22.25, 22.25 degrees
Fractional coordinates of all 4 atoms:
Be  0.000  0.000  0.000
B  0.500  0.500  0.500
Ru  0.103  0.103  0.103
Ru  0.897  0.897  0.897